# 1
The following is a meta-GGA SCAN calculation of Mg3TeRh at its PBEsol-relaxed geometry, from Alexandria.

The structure in CIF format:
```
data_Mg3TeRh
_cell_length_a 5.155
_cell_length_b 5.155
_cell_length_c 5.155
_cell_angle_alpha 90.00
_cell_angle_beta 90.00
_cell_angle_gamma 90.00
_space_group_name_H-M_alt 'P 1'
_space_group_IT_number 1
loop_
_space_group_symop_operation_xyz
'x,y,z'
loop_
_atom_site_label
_atom_site_type_symbol
_atom_site_fract_x
_atom_site_fract_y
_atom_site_fract_z
Mg1 Mg 0.000 0.000 0.500
Mg2 Mg 0.000 0.500 0.000
Mg3 Mg 0.500 0.000 0.000
Te1 Te 0.000 0.000 0.000
Rh1 Rh 0.500 0.500 0.500
```

Summary:
* calculated volume: 137 Å³/f.u.
* uncorrected formation energy: 4.12 eV per formula unit
* SG: Pm-3m (221)

# 2
The following is a meta-GGA SCAN calculation of MgTiRh3 at its PBEsol-relaxed geometry, from Alexandria.

The structure in CIF format:
```
data_MgTiRh3
_cell_length_a 4.355
_cell_length_b 4.355
_cell_length_c 4.355
_cell_angle_alpha 90.00
_cell_angle_beta 90.00
_cell_angle_gamma 90.00
_space_group_name_H-M_alt 'P 1'
_space_group_IT_number 1
loop_
_space_group_symop_operation_xyz
'x,y,z'
loop_
_atom_site_label
_atom_site_type_symbol
_atom_site_fract_x
_atom_site_fract_y
_atom_site_fract_z
Mg1 Mg 0.000 0.000 0.000
Ti1 Ti 0.500 0.500 0.500
Rh1 Rh 0.000 0.000 0.500
Rh2 Rh 0.000 0.500 0.000
Rh3 Rh 0.500 0.000 0.000
```

Summary:
* calculated volume: 83 Å³/f.u.
* formation enthalpy at 0 K: 0.69 eV/atom
* SG: Pm-3m (221)

# 3
The following is a meta-GGA SCAN calculation of MgTi3Rh at its PBEsol-relaxed geometry, from Alexandria.

The structure in CIF format:
```
data_MgTi3Rh
_cell_length_a 4.556
_cell_length_b 4.556
_cell_length_c 4.556
_cell_angle_alpha 90.00
_cell_angle_beta 90.00
_cell_angle_gamma 90.00
_space_group_name_H-M_alt 'P 1'
_space_group_IT_number 1
loop_
_space_group_symop_operation_xyz
'x,y,z'
loop_
_atom_site_label
_atom_site_type_symbol
_atom_site_fract_x
_atom_site_fract_y
_atom_site_fract_z
Mg1 Mg 0.000 0.000 0.000
Ti1 Ti 0.000 0.000 0.500
Ti2 Ti 0.000 0.500 0.000
Ti3 Ti 0.500 0.000 0.000
Rh1 Rh 0.500 0.500 0.500
```

Summary:
* calculated volume: 95 Å³/f.u.
* formation enthalpy at 0 K: 1.46 eV/atom
* SG: Pm-3m (221)